# 1
The following is a PBE-GGA calculation of crystalline Cs2SrBr6O at its relaxed geometry, from Alexandria.

Cell and atoms, written as extended XYZ:
```
10
Lattice="-3.983 6.029 2.150 -5.342 -4.526 2.796 -1.510 0.710 8.430" Properties=species:S:1:pos:R:3 pbc="T T T"
Cs -5.078 3.745 6.527
Cs -5.757 -1.532 6.849
Sr 0.000 0.000 0.000
O -4.663 0.752 2.473
Br -2.893 0.728 5.817
Br -7.942 1.485 7.559
Br -2.678 0.432 1.420
Br -6.648 1.072 3.526
Br -4.373 2.999 2.336
Br -4.952 -1.495 2.610
```

Theoretical density, g/cm³: 3.68
Symmetry: I4/mmm, No. 139
Density of states at the Fermi level, states/eV/cell: 0.000
Calculated volume, Å³/f.u.: 383
Raw formation energy, eV/atom: -1.06
Total magnetic moment, μB per formula unit: 0.000

# 2
The following is a PBE-GGA calculation of crystalline Cs2TcBr4O2 at its relaxed geometry, from Alexandria.

Cell and atoms, written as extended XYZ:
```
9
Lattice="7.471 1.115 0.758 2.894 7.094 0.186 2.894 2.778 6.531" Properties=species:S:1:pos:R:3 pbc="T T T"
Cs 5.870 7.630 5.191
Cs 7.389 3.357 2.284
Tc 3.736 0.557 0.379
Br 4.905 6.109 1.730
Br 8.355 7.134 2.428
Br 8.355 4.878 5.745
Br 4.905 3.852 5.047
O 3.098 1.924 1.309
O 10.161 9.062 6.166
```

Theoretical density, g/cm³: 3.80
Symmetry: C2/m, No. 12
Calculated volume, Å³/f.u.: 312
Raw formation energy, eV/atom: -1.22
Total magnetic moment, μB per formula unit: 0.981

# 3
The following is a PBE-GGA calculation of crystalline Cs2TcBr5O at its relaxed geometry, from Alexandria.

Cell and atoms, written as extended XYZ:
```
9
Lattice="7.682 0.027 0.039 -3.624 6.773 -0.039 -3.624 -2.449 6.315" Properties=species:S:1:pos:R:3 pbc="T T T"
Cs 0.241 -0.144 4.726
Cs 0.241 4.467 1.548
Tc -7.069 4.218 6.122
Br 1.879 0.984 1.428
Br -1.392 3.337 4.842
Br -3.598 4.653 1.389
Br -3.598 -0.359 4.842
Br -1.668 0.995 1.444
O -5.911 3.527 5.119
```

Theoretical density, g/cm³: 3.92
Symmetry: I4mm, No. 107
Calculated volume, Å³/f.u.: 330
Raw formation energy, eV/atom: -1.16
Total magnetic moment, μB per formula unit: 0.105